Density functional theory data (PBE-GGA) for a relaxed structure of Ir5Ru2Rh4.

The formation energy is 0.49 eV/atom. The calculation puts the total moment at 0.00 Bohr magnetons per cell. As for the mass density: 13.98 g/cm³. As for the space group: No. 12.

Cell lengths 8.751, 8.751, 8.637 Å; angles 111.37, 111.37, 17.71 degrees
Element x y z (fractional)
Ir 0.000 0.000 0.000
Ir 0.133 0.133 0.558
Ir 0.422 0.422 0.719
Ir 0.578 0.578 0.281
Ir 0.867 0.867 0.442
Ru 0.200 0.200 0.862
Ru 0.800 0.800 0.138
Rh 0.222 0.222 0.339
Rh 0.362 0.362 0.961
Rh 0.638 0.638 0.039
Rh 0.778 0.778 0.661



Density functional theory data (PBE-GGA) for a relaxed structure of IrRu4Rh.

The calculation puts the distance to the lowest polymorph of the same formula at 0.0000 eV per atom. The formation energy is -0.02 eV/atom. The calculation puts the total moment at 0.00 Bohr magnetons per cell. As for the mass density: 13.79 g/cm³. As for the space group: No. 38.

Cell lengths 4.326, 7.249, 7.249 Å; angles 21.75, 90.00, 90.00 degrees
Element x y z (fractional)
Ir 0.000 0.000 0.000
Ru 0.000 0.332 0.332
Ru 0.000 0.667 0.667
Ru 0.500 0.554 0.554
Ru 0.500 0.890 0.890
Rh 0.500 0.222 0.222



Density functional theory data (PBE-GGA) for a relaxed structure of Ir9Ru2Rh.

The formation energy is -0.04 eV/atom. The calculation puts the total moment at 0.00 Bohr magnetons per cell. As for the mass density: 19.57 g/cm³. As for the space group: No. 123.

Cell lengths 3.859, 3.859, 11.592 Å; angles 90.00, 90.00, 90.00 degrees
Element x y z (fractional)
Ir 0.000 0.000 0.000
Ir 0.000 0.000 0.334
Ir 0.000 0.000 0.666
Ir 0.000 0.500 0.169
Ir 0.000 0.500 0.500
Ir 0.000 0.500 0.831
Ir 0.500 0.000 0.169
Ir 0.500 0.000 0.500
Ir 0.500 0.000 0.831
Ru 0.500 0.500 0.331
Ru 0.500 0.500 0.669
Rh 0.500 0.500 0.000



Density functional theory data (PBE-GGA) for a relaxed structure of Ir2Ru5Rh2.

The calculation puts the distance to the lowest polymorph of the same formula at 0.0000 eV per atom. The formation energy is 0.03 eV/atom. The calculation puts the total moment at 0.00 Bohr magnetons per cell. As for the mass density: 14.32 g/cm³. As for the space group: No. 12.

Cell lengths 4.702, 4.702, 8.140 Å; angles 106.89, 106.89, 48.10 degrees
Element x y z (fractional)
Ir 0.166 0.166 0.053
Ir 0.834 0.834 0.947
Ru 0.165 0.165 0.723
Ru 0.500 0.500 0.169
Ru 0.500 0.500 0.500
Ru 0.500 0.500 0.831
Ru 0.835 0.835 0.277
Rh 0.165 0.165 0.390
Rh 0.835 0.835 0.610



Density functional theory data (PBE-GGA) for a relaxed structure of Ir2RuRh.

The calculation puts the distance to the lowest polymorph of the same formula at 0.0286 eV per atom. The formation energy is 0.00 eV/atom. The calculation puts the total moment at 0.00 Bohr magnetons per cell. As for the mass density: 17.10 g/cm³. As for the space group: No. 99.

Cell lengths 2.722, 2.722, 7.715 Å; angles 90.00, 90.00, 90.00 degrees
Element x y z (fractional)
Ir 0.000 0.000 0.000
Ir 0.500 0.500 0.252
Ru 0.500 0.500 0.754
Rh 0.000 0.000 0.506



Density functional theory data (PBE-GGA) for a relaxed structure of Ir2RuRh3.

The calculation puts the distance to the lowest polymorph of the same formula at 0.0000 eV per atom. The formation energy is 0.00 eV/atom. The calculation puts the total moment at 0.00 Bohr magnetons per cell. As for the mass density: 15.43 g/cm³. As for the space group: No. 11.

Cell lengths 5.432, 3.840, 8.195 Å; angles 90.00, 90.15, 90.00 degrees
Element x y z (fractional)
Ir 0.122 0.250 0.420
Ir 0.374 0.750 0.915
Ir 0.626 0.250 0.085
Ir 0.878 0.750 0.580
Ru 0.126 0.250 0.747
Ru 0.874 0.750 0.253
Rh 0.123 0.250 0.083
Rh 0.374 0.750 0.247
Rh 0.374 0.750 0.588
Rh 0.626 0.250 0.412
Rh 0.626 0.250 0.753
Rh 0.877 0.750 0.917



Density functional theory data (PBE-GGA) for a relaxed structure of IrRuRh3.

The calculation puts the distance to the lowest polymorph of the same formula at 0.1626 eV per atom. The formation energy is 0.60 eV/atom. The calculation puts the total moment at 0.00 Bohr magnetons per cell. As for the mass density: 12.71 g/cm³. As for the space group: No. 74.

Cell lengths 6.179, 6.179, 6.179 Å; angles 131.82, 109.36, 90.10 degrees
Element x y z (fractional)
Ir 0.000 0.000 0.000
Ir 0.500 0.000 0.500
Ru 0.269 0.519 0.750
Ru 0.731 0.481 0.250
Rh 0.037 0.787 0.250
Rh 0.326 0.000 0.826
Rh 0.326 0.500 0.326
Rh 0.674 0.000 0.174
Rh 0.674 0.500 0.674
Rh 0.963 0.213 0.750



Density functional theory data (PBE-GGA) for a relaxed structure of Ir3Ru6Rh.

The formation energy is 0.13 eV/atom. The calculation puts the total moment at 0.00 Bohr magnetons per cell. As for the mass density: 14.82 g/cm³. As for the space group: No. 11.

Cell lengths 9.869, 2.715, 10.958 Å; angles 90.00, 100.97, 90.00 degrees
Element x y z (fractional)
Ir 0.075 0.250 0.101
Ir 0.373 0.750 0.497
Ir 0.417 0.250 0.902
Ir 0.583 0.750 0.098
Ir 0.627 0.250 0.503
Ir 0.925 0.750 0.899
Ru 0.125 0.250 0.487
Ru 0.194 0.750 0.932
Ru 0.229 0.750 0.280
Ru 0.270 0.750 0.707
Ru 0.347 0.250 0.126
Ru 0.494 0.250 0.689
Ru 0.506 0.750 0.311
Ru 0.653 0.750 0.874
Ru 0.730 0.250 0.293
Ru 0.771 0.250 0.720
Ru 0.806 0.250 0.068
Ru 0.875 0.750 0.513
Rh 0.036 0.250 0.716
Rh 0.964 0.750 0.284



Density functional theory data (PBE-GGA) for a relaxed structure of Ir2RuRh.

The calculation puts the distance to the lowest polymorph of the same formula at 0.0123 eV per atom. The formation energy is -0.01 eV/atom. The calculation puts the total moment at 0.00 Bohr magnetons per cell. As for the mass density: 17.12 g/cm³. As for the space group: No. 65.

Cell lengths 4.715, 4.715, 2.726 Å; angles 90.00, 90.00, 109.62 degrees
Element x y z (fractional)
Ir 0.000 0.500 0.000
Ir 0.500 0.000 0.000
Ru 0.000 0.000 0.500
Rh 0.500 0.500 0.500



Density functional theory data (PBE-GGA) for a relaxed structure of Ir4RuRh3.

The calculation puts the distance to the lowest polymorph of the same formula at 0.2806 eV per atom. The formation energy is 0.27 eV/atom. The calculation puts the total moment at 0.82 Bohr magnetons per cell. As for the mass density: 16.49 g/cm³. As for the space group: No. 12.

Cell lengths 6.417, 6.417, 4.764 Å; angles 111.02, 111.02, 40.90 degrees
Element x y z (fractional)
Ir 0.123 0.123 0.082
Ir 0.251 0.251 0.681
Ir 0.749 0.749 0.319
Ir 0.877 0.877 0.918
Ru 0.500 0.500 0.000
Rh 0.000 0.000 0.500
Rh 0.364 0.364 0.294
Rh 0.636 0.636 0.706



Density functional theory data (PBE-GGA) for a relaxed structure of Ir2RuRh.

The calculation puts the distance to the lowest polymorph of the same formula at 0.5262 eV per atom. The formation energy is 0.50 eV/atom. The calculation puts the total moment at 2.16 Bohr magnetons per cell. As for the mass density: 16.47 g/cm³. As for the space group: No. 225.

Cell lengths 4.378, 4.378, 4.378 Å; angles 60.00, 60.00, 60.00 degrees
Element x y z (fractional)
Ir 0.250 0.250 0.250
Ir 0.750 0.750 0.750
Ru 0.000 0.000 0.000
Rh 0.500 0.500 0.500



Density functional theory data (PBE-GGA) for a relaxed structure of Ir2RuRh.

The calculation puts the distance to the lowest polymorph of the same formula at 0.0834 eV per atom. The formation energy is 0.06 eV/atom. The calculation puts the total moment at 0.00 Bohr magnetons per cell. As for the mass density: 17.03 g/cm³. As for the space group: No. 160.

Cell lengths 8.992, 8.992, 8.992 Å; angles 17.50, 17.50, 17.50 degrees
Element x y z (fractional)
Ir 0.000 0.000 0.000
Ir 0.249 0.249 0.249
Ru 0.749 0.749 0.749
Rh 0.498 0.498 0.498



Density functional theory data (PBE-GGA) for a relaxed structure of Ir8Ru2Rh.

The formation energy is 0.16 eV/atom. The calculation puts the total moment at 0.00 Bohr magnetons per cell. As for the mass density: 18.27 g/cm³. As for the space group: No. 71.

Cell lengths 7.153, 7.153, 7.153 Å; angles 149.01, 115.48, 73.29 degrees
Element x y z (fractional)
Ir 0.090 0.337 0.754
Ir 0.174 0.174 0.000
Ir 0.253 0.000 0.253
Ir 0.417 0.663 0.754
Ir 0.583 0.337 0.246
Ir 0.747 0.000 0.747
Ir 0.826 0.826 0.000
Ir 0.910 0.663 0.246
Ru 0.333 0.833 0.500
Ru 0.667 0.167 0.500
Rh 0.000 0.500 0.500



Density functional theory data (PBE-GGA) for a relaxed structure of Ir3Ru3Rh.

The calculation puts the distance to the lowest polymorph of the same formula at 0.3127 eV per atom. The formation energy is 0.30 eV/atom. The calculation puts the total moment at 0.00 Bohr magnetons per cell. As for the mass density: 14.94 g/cm³. As for the space group: No. 148.

Cell lengths 6.485, 6.485, 6.485 Å; angles 66.14, 66.14, 66.14 degrees
Element x y z (fractional)
Ir 0.136 0.696 0.491
Ir 0.304 0.509 0.864
Ir 0.491 0.136 0.696
Ir 0.509 0.864 0.304
Ir 0.696 0.491 0.136
Ir 0.864 0.304 0.509
Ru 0.046 0.319 0.815
Ru 0.185 0.954 0.681
Ru 0.319 0.815 0.046
Ru 0.681 0.185 0.954
Ru 0.815 0.046 0.319
Ru 0.954 0.681 0.185
Rh 0.316 0.316 0.316
Rh 0.684 0.684 0.684



Density functional theory data (PBE-GGA) for a relaxed structure of IrRu4Rh.

The calculation puts the distance to the lowest polymorph of the same formula at 0.6260 eV per atom. The formation energy is 0.60 eV/atom. The calculation puts the total moment at 0.00 Bohr magnetons per cell. As for the mass density: 12.96 g/cm³. As for the space group: No. 216.

Cell lengths 5.023, 5.023, 5.023 Å; angles 60.00, 60.00, 60.00 degrees
Element x y z (fractional)
Ir 0.000 0.000 0.000
Ru 0.375 0.375 0.375
Ru 0.375 0.375 0.875
Ru 0.375 0.875 0.375
Ru 0.875 0.375 0.375
Rh 0.750 0.750 0.750



Density functional theory data (PBE-GGA) for a relaxed structure of Ir5Ru3Rh2.

The formation energy is 0.52 eV/atom. The calculation puts the total moment at 0.00 Bohr magnetons per cell. As for the mass density: 15.14 g/cm³. As for the space group: No. 72.

Cell lengths 8.371, 8.371, 8.371 Å; angles 104.17, 86.84, 144.13 degrees
Element x y z (fractional)
Ir 0.151 0.634 0.785
Ir 0.250 0.004 0.754
Ir 0.250 0.250 0.000
Ir 0.250 0.496 0.246
Ir 0.349 0.134 0.482
Ir 0.651 0.866 0.518
Ir 0.750 0.504 0.754
Ir 0.750 0.750 0.000
Ir 0.750 0.996 0.246
Ir 0.849 0.366 0.215
Ru 0.154 0.117 0.271
Ru 0.250 0.750 0.500
Ru 0.346 0.617 0.963
Ru 0.654 0.383 0.037
Ru 0.750 0.250 0.500
Ru 0.846 0.883 0.729
Rh 0.218 0.378 0.596
Rh 0.282 0.878 0.160
Rh 0.718 0.122 0.840
Rh 0.782 0.622 0.404



Density functional theory data (PBE-GGA) for a relaxed structure of Ir15Ru2Rh2.

The formation energy is 0.50 eV/atom. The calculation puts the total moment at 0.00 Bohr magnetons per cell. As for the mass density: 17.94 g/cm³. As for the space group: No. 166.

Cell lengths 6.805, 6.805, 6.805 Å; angles 81.01, 81.01, 81.01 degrees
Element x y z (fractional)
Ir 0.000 0.000 0.500
Ir 0.000 0.308 0.692
Ir 0.000 0.500 0.000
Ir 0.000 0.692 0.308
Ir 0.151 0.648 0.648
Ir 0.308 0.000 0.692
Ir 0.308 0.692 0.000
Ir 0.352 0.352 0.849
Ir 0.352 0.849 0.352
Ir 0.500 0.000 0.000
Ir 0.648 0.151 0.648
Ir 0.648 0.648 0.151
Ir 0.692 0.000 0.308
Ir 0.692 0.308 0.000
Ir 0.849 0.352 0.352
Ru 0.089 0.089 0.089
Ru 0.911 0.911 0.911
Rh 0.289 0.289 0.289
Rh 0.711 0.711 0.711



Density functional theory data (PBE-GGA) for a relaxed structure of Ir2RuRh4.

The calculation puts the distance to the lowest polymorph of the same formula at 0.2156 eV per atom. The formation energy is 0.50 eV/atom. The calculation puts the total moment at 1.13 Bohr magnetons per cell. As for the mass density: 13.54 g/cm³. As for the space group: No. 136.

Cell lengths 7.169, 7.169, 4.280 Å; angles 90.00, 90.00, 90.00 degrees
Element x y z (fractional)
Ir 0.134 0.134 0.000
Ir 0.366 0.634 0.500
Ir 0.634 0.366 0.500
Ir 0.866 0.866 0.000
Ru 0.000 0.000 0.500
Ru 0.500 0.500 0.000
Rh 0.100 0.357 0.500
Rh 0.143 0.600 0.000
Rh 0.357 0.100 0.500
Rh 0.400 0.857 0.000
Rh 0.600 0.143 0.000
Rh 0.643 0.900 0.500
Rh 0.857 0.400 0.000
Rh 0.900 0.643 0.500



Density functional theory data (PBE-GGA) for a relaxed structure of Ir4Ru7Rh.

The formation energy is 0.24 eV/atom. The calculation puts the total moment at 0.00 Bohr magnetons per cell. As for the mass density: 15.03 g/cm³. As for the space group: No. 164.

Cell lengths 4.333, 4.333, 10.731 Å; angles 90.00, 90.00, 120.00 degrees
Element x y z (fractional)
Ir 0.333 0.667 0.123
Ir 0.333 0.667 0.376
Ir 0.667 0.333 0.624
Ir 0.667 0.333 0.877
Ru 0.000 0.000 0.253
Ru 0.000 0.000 0.500
Ru 0.000 0.000 0.747
Ru 0.333 0.667 0.625
Ru 0.333 0.667 0.877
Ru 0.667 0.333 0.123
Ru 0.667 0.333 0.375
Rh 0.000 0.000 0.000



Density functional theory data (PBE-GGA) for a relaxed structure of IrRu4Rh4.

The formation energy is 0.02 eV/atom. The calculation puts the total moment at 0.00 Bohr magnetons per cell. As for the mass density: 13.20 g/cm³. As for the space group: No. 139.

Cell lengths 6.066, 6.066, 6.066 Å; angles 95.71, 95.71, 143.23 degrees
Element x y z (fractional)
Ir 0.000 0.000 0.000
Ru 0.000 0.339 0.339
Ru 0.000 0.661 0.661
Ru 0.339 0.000 0.339
Ru 0.661 0.000 0.661
Rh 0.333 0.333 0.665
Rh 0.333 0.667 0.000
Rh 0.667 0.333 0.000
Rh 0.667 0.667 0.335